# Ce4ErPb5

Ce4ErPb5 after structural relaxation (PBE-GGA, the Alexandria database).

Cell: 3.5826 3.5826 22.7931 Å, 90.00 90.00 90.00°
Site moments in Bohr magnetons follow the coordinates.
Fractional coordinates of all 10 atoms:
Pb 0.5000 0.5000 0.5000  -0.02
Er 0.0000 0.0000 0.0000  -0.04
Pb 0.5000 0.5000 0.0952  0.00
Ce 0.0000 0.0000 0.8024  1.03
Ce 0.0000 0.0000 0.6011  0.99
Pb 0.5000 0.5000 0.7018  -0.02
Ce 0.0000 0.0000 0.3989  0.99
Ce 0.0000 0.0000 0.1976  1.03
Pb 0.5000 0.5000 0.9048  0.00
Pb 0.5000 0.5000 0.2982  -0.02

Results
* N(E_F): 28.40 states/eV/f.u.
* energy relative to the elements: -3.96 eV/f.u.


# SrLa2Ir

SrLa2Ir after structural relaxation (PBE-GGA, the Alexandria database).

Cell: 3.9834 4.3622 8.6950 Å, 75.47 90.00 90.00°
Site moments in Bohr magnetons follow the coordinates.
Fractional coordinates of all 4 atoms:
Ir 0.5000 0.5023 0.8709  0.00
La 0.5000 0.3411 0.1928  0.05
La 0.0000 0.9881 0.8990  0.00
Sr 0.0000 0.6685 0.5373  0.01

Results
* N(E_F): 3.86 states/eV/f.u.
* energy relative to the elements: -1.26 eV/f.u.
* ΔE to the lowest computed polymorph: 150 meV/atom


# LaPm2Pr4Nd2

LaPm2Pr4Nd2 after structural relaxation (PBE-GGA, the Alexandria database).

Cell: 5.2419 8.2648 8.2603 Å, 107.51 90.00 108.49°
Fractional coordinates of all 9 atoms:
La 0.0000 0.0000 0.0000
Pr 0.7775 0.5551 0.6670
Pr 0.4447 0.8894 0.6661
Nd 0.3325 0.6649 0.0009
Pr 0.2225 0.4449 0.3330
Pr 0.5553 0.1106 0.3339
Pm 0.1109 0.2219 0.6657
Nd 0.6675 0.3351 0.9991
Pm 0.8891 0.7781 0.3343

Results
* N(E_F): 14.93 states/eV/f.u.
* energy relative to the elements: 0.10 eV/f.u.


> Look up the N(E_F) of the second one.

3.86 states/eV/f.u.